# 1
Material: NaNdAu2
Method: DFT, PBE
State: relaxed

Values from the calculation:
Density = 8.5 g/cm³
Total moment = 0.000 Bohr magnetons per cell
Excess energy over the best structure of this formula in the dataset = 0.1370 eV/atom
ΔH_f (0 K) = -0.4509 eV per atom
N(E_F) = 0.53 states/eV/atom

abc: 7.561 7.561 7.561
angles: 32.20 32.20 32.20
Element x y z (fractional)
Na  0.000  0.000  0.000
Nd  0.172  0.172  0.172
Au  0.589  0.589  0.589
Au  0.751  0.751  0.751

# 2
Material: NaNd2Au
Method: DFT, PBE
State: relaxed

Values from the calculation:
Density = 6.8 g/cm³
Total moment = 0.002 Bohr magnetons per cell
Excess energy over the best structure of this formula in the dataset = 0.0000 eV/atom
ΔH_f (0 K) = -0.2479 eV per atom
N(E_F) = 1.30 states/eV/atom

abc: 3.713 3.713 8.974
angles: 90.00 90.00 90.00
Element x y z (fractional)
Na  0.000  0.000  0.000
Nd  0.500  0.500  0.302
Nd  0.500  0.500  0.698
Au  0.000  0.000  0.500